DFT (PBE-GGA) results for BeZn2Pt after structural relaxation.

mass density	10.33	g/cm³
raw total energy	-13.08	eV/cell

```
4
Lattice="2.529 -3.854 0.000 2.529 3.854 0.000 0.000 0.000 2.762" Properties=species:S:1:pos:R:3 pbc="T T T"
Be 0.000 0.000 0.000
Zn 1.265 1.927 1.381
Zn 1.265 -1.927 1.381
Pt 2.529 0.000 0.000
```

---

DFT (PBE-GGA) results for Ca2Mg2Cu after structural relaxation.

mass density	2.39	g/cm³
ΔE to the lowest computed polymorph	0.9	kJ/mol of atoms

```
10
Lattice="5.845 -3.331 0.000 5.845 3.331 0.000 -2.122 0.000 6.860" Properties=species:S:1:pos:R:3 pbc="T T T"
Ca 1.478 0.574 0.912
Ca 0.417 -0.574 4.342
Ca 9.150 0.574 2.518
Ca 8.089 -0.574 5.948
Mg 3.500 0.674 3.654
Mg 4.562 -0.674 0.224
Mg 5.005 0.674 6.636
Mg 6.066 -0.674 3.206
Cu 5.314 1.520 1.715
Cu 4.253 -1.520 5.145
```

---

DFT (PBE-GGA) results for La2CeDy after structural relaxation.

mass density	7.34	g/cm³
ΔE to the lowest computed polymorph	0.0	kJ/mol of atoms

```
4
Lattice="3.584 0.000 0.000 0.000 3.584 0.000 0.000 0.000 10.227" Properties=species:S:1:pos:R:3 pbc="T T T"
La 0.000 0.000 2.431
La 0.000 0.000 7.795
Ce 1.792 1.792 0.000
Dy 1.792 1.792 5.113
```

---

DFT (PBE-GGA) results for LiMn3Ga4 after structural relaxation.

mass density	6.90	g/cm³
raw total energy	-42.44	eV/cell

```
8
Lattice="2.783 0.000 0.000 0.000 4.408 0.000 0.000 0.000 8.842" Properties=species:S:1:pos:R:3 pbc="T T T"
Li 0.000 0.000 0.000
Mn 0.000 0.000 4.421
Mn 0.000 2.204 2.201
Mn 0.000 2.204 6.641
Ga 1.391 0.000 2.226
Ga 1.391 0.000 6.616
Ga 1.391 2.204 0.000
Ga 1.391 2.204 4.421
```

---

DFT (PBE-GGA) results for Tl3GeF after structural relaxation.

mass density	6.19	g/cm³
ΔE to the lowest computed polymorph	22.8	kJ/mol of atoms

```
5
Lattice="5.741 0.000 0.000 0.000 5.741 0.000 0.000 0.000 5.741" Properties=species:S:1:pos:R:3 pbc="T T T"
Tl 0.000 0.000 2.870
Tl 0.000 2.870 0.000
Tl 2.870 0.000 0.000
Ge 0.000 0.000 0.000
F 2.870 2.870 2.870
```

---

DFT (PBE-GGA) results for CsV2Pd2 after structural relaxation.

mass density	7.25	g/cm³
ΔE to the lowest computed polymorph	0.0	kJ/mol of atoms

```
10
Lattice="8.146 0.000 0.000 0.000 8.146 0.000 0.000 0.000 3.090" Properties=species:S:1:pos:R:3 pbc="T T T"
Cs 0.000 0.000 0.000
Cs 4.073 4.073 0.000
V 0.679 3.394 0.000
V 3.394 7.467 0.000
V 4.752 0.679 0.000
V 7.467 4.752 0.000
Pd 1.507 5.580 1.545
Pd 2.566 1.507 1.545
Pd 5.580 6.639 1.545
Pd 6.639 2.566 1.545
```

---

DFT (PBE-GGA) results for K4ScBr after structural relaxation.

mass density	1.44	g/cm³
raw total energy	-10.92	eV/cell

```
6
Lattice="0.000 5.451 5.451 5.451 0.000 5.451 5.451 5.451 0.000" Properties=species:S:1:pos:R:3 pbc="T T T"
K 1.367 1.367 1.367
K 4.084 4.084 1.367
K 4.084 1.367 4.084
K 1.367 4.084 4.084
Sc 8.177 8.177 8.177
Br 5.451 5.451 5.451
```

---

DFT (PBE-GGA) results for LaY7Sc2 after structural relaxation.

mass density	4.52	g/cm³
raw total energy	-62.48	eV/cell

```
10
Lattice="9.005 -2.687 0.000 9.005 2.687 0.000 -2.731 0.000 6.465" Properties=species:S:1:pos:R:3 pbc="T T T"
La 0.000 0.000 0.000
Y -1.365 0.000 3.233
Y 3.109 0.000 1.320
Y 6.583 0.000 0.905
Y 5.240 0.000 4.090
Y 10.039 0.000 2.375
Y 8.696 0.000 5.560
Y 12.170 0.000 5.145
Sc 1.677 0.000 4.525
Sc 13.602 0.000 1.940
```

---

DFT (PBE-GGA) results for Cs2PmInBr6 after structural relaxation.

mass density	3.87	g/cm³
raw total energy	-71.41	eV/cell

```
20
Lattice="8.297 0.000 0.000 0.000 8.695 0.000 -8.211 0.000 11.941" Properties=species:S:1:pos:R:3 pbc="T T T"
Cs -0.154 0.565 2.982
Cs -4.259 3.782 8.953
Cs 4.346 4.912 2.988
Cs 0.240 8.130 8.959
Pm 4.149 0.000 0.000
Pm 0.043 4.347 5.971
In -4.105 0.000 5.971
In 0.000 4.347 0.000
Br -6.407 1.617 11.442
Br -2.302 2.730 5.472
Br -5.584 6.289 11.402
Br -1.478 6.753 5.431
Br -3.367 0.193 9.148
Br 0.738 4.154 3.177
Br -0.651 4.540 8.764
Br 3.454 8.502 2.793
Br 1.565 1.941 6.510
Br 5.670 2.406 0.539
Br 2.389 5.965 6.469
Br 6.494 7.077 0.499
```

---

DFT (PBE-GGA) results for TlPtBr2O8 after structural relaxation.

mass density	6.03	g/cm³
raw total energy	-51.00	eV/cell

```
12
Lattice="5.104 -2.851 0.000 5.104 2.851 0.000 -0.366 0.000 6.508" Properties=species:S:1:pos:R:3 pbc="T T T"
Tl 0.000 0.000 0.000
Pt -0.183 0.000 3.254
Br 3.197 0.000 2.242
Br 6.644 0.000 4.265
O 1.808 0.000 3.454
O 4.956 1.484 1.801
O 4.886 1.484 4.707
O 2.558 0.000 0.705
O 7.284 0.000 5.803
O 4.956 -1.484 1.801
O 4.886 -1.484 4.707
O 8.034 0.000 3.054
```

---

DFT (PBE-GGA) results for Sr3PPb after structural relaxation.

mass density	4.41	g/cm³
ΔE to the lowest computed polymorph	0.0	kJ/mol of atoms

```
10
Lattice="8.078 -2.406 0.000 8.078 2.406 0.000 -1.033 0.000 9.696" Properties=species:S:1:pos:R:3 pbc="T T T"
Sr 0.363 0.000 3.114
Sr 3.291 0.000 6.531
Sr 5.672 0.000 0.452
Sr 9.450 0.000 9.245
Sr 11.831 0.000 3.165
Sr 14.759 0.000 6.582
P 2.786 0.000 1.377
P 12.337 0.000 8.319
Pb 6.126 0.000 4.033
Pb 8.996 0.000 5.663
```

---

DFT (PBE-GGA) results for KMgIn2 after structural relaxation.

mass density	4.12	g/cm³
raw total energy	-8.57	eV/cell

```
4
Lattice="3.696 0.000 0.000 0.000 3.696 0.000 0.000 0.000 8.646" Properties=species:S:1:pos:R:3 pbc="T T T"
K 0.000 0.000 0.000
Mg 0.000 0.000 4.323
In 1.848 1.848 2.640
In 1.848 1.848 6.006
```

---

DFT (PBE-GGA) results for Be4ZnAs after structural relaxation.

mass density	4.37	g/cm³
raw total energy	-18.97	eV/cell

```
6
Lattice="0.000 3.223 3.223 3.223 0.000 3.223 3.223 3.223 0.000" Properties=species:S:1:pos:R:3 pbc="T T T"
Be 0.797 0.797 0.797
Be 2.426 2.426 0.797
Be 2.426 0.797 2.426
Be 0.797 2.426 2.426
Zn 4.834 4.834 4.834
As 3.223 3.223 3.223
```

---

DFT (PBE-GGA) results for TcAsS2 after structural relaxation.

mass density	5.35	g/cm³
raw total energy	-21.26	eV/cell

```
4
Lattice="1.665 0.961 7.655 -1.665 0.961 7.655 0.000 -1.923 7.655" Properties=species:S:1:pos:R:3 pbc="T T T"
Tc 0.000 0.000 0.000
As 0.000 0.000 11.482
S 0.000 0.000 2.222
S 0.000 0.000 20.743
```

---

DFT (PBE-GGA) results for PmYThTc after structural relaxation.

mass density	7.85	g/cm³
raw total energy	-28.43	eV/cell

```
4
Lattice="2.312 1.335 6.445 -2.312 1.335 6.445 0.000 -2.669 6.445" Properties=species:S:1:pos:R:3 pbc="T T T"
Pm 0.000 0.000 0.000
Y 0.000 0.000 4.127
Th 0.000 0.000 8.563
Tc 0.000 0.000 15.435
```

---

DFT (PBE-GGA) results for PmPr2AgSe5 after structural relaxation.

mass density	6.55	g/cm³
raw total energy	-97.08	eV/cell

```
18
Lattice="2.102 -8.873 0.000 2.102 8.873 0.000 0.000 0.000 12.635" Properties=species:S:1:pos:R:3 pbc="T T T"
Pm 2.102 5.399 6.317
Pm 2.102 -5.399 0.000
Pr 2.102 6.915 2.245
Pr 2.102 6.677 10.088
Pr 2.102 -6.677 3.771
Pr 2.102 -6.915 8.562
Ag 2.102 0.983 12.039
Ag 2.102 -0.983 5.722
Se 2.102 8.088 7.221
Se 2.102 3.769 2.058
Se 2.102 3.402 10.538
Se 2.102 2.458 6.220
Se 2.102 0.032 3.353
Se 2.102 -0.032 9.670
Se 2.102 -2.458 12.538
Se 2.102 -3.402 4.221
Se 2.102 -3.769 8.375
Se 2.102 -8.088 0.904
```

---

DFT (PBE-GGA) results for Pm2YSn5 after structural relaxation.

mass density	7.42	g/cm³
raw total energy	-40.73	eV/cell

```
8
Lattice="4.103 -5.148 0.000 4.103 5.148 0.000 -4.073 0.000 5.150" Properties=species:S:1:pos:R:3 pbc="T T T"
Pm 4.103 2.626 0.000
Pm 4.103 -2.626 0.000
Y 4.795 0.000 2.534
Sn -0.109 0.000 2.531
Sn 2.120 2.252 2.567
Sn 2.154 0.000 0.268
Sn 2.090 0.000 4.771
Sn 2.120 -2.252 2.567
```

---

DFT (PBE-GGA) results for Hf2Ti8Sb3 after structural relaxation.

mass density	7.09	g/cm³
raw total energy	-95.04	eV/cell

```
13
Lattice="2.707 1.563 10.201 -2.707 1.563 10.201 0.000 -3.126 10.201" Properties=species:S:1:pos:R:3 pbc="T T T"
Hf 0.000 0.000 4.131
Hf 0.000 0.000 26.474
Ti 0.000 -1.612 11.897
Ti -1.396 0.806 11.897
Ti 0.000 0.000 6.822
Ti -1.396 -0.806 18.707
Ti 1.396 0.806 11.897
Ti 0.000 0.000 23.782
Ti 1.396 -0.806 18.707
Ti 0.000 1.612 18.707
Sb 0.000 0.000 9.516
Sb 0.000 0.000 15.302
Sb 0.000 0.000 21.088
```

---

DFT (PBE-GGA) results for ThRe2Tc after structural relaxation.

mass density	16.23	g/cm³
raw total energy	-40.42	eV/cell

```
4
Lattice="1.456 0.841 9.785 -1.456 0.841 9.785 0.000 -1.682 9.785" Properties=species:S:1:pos:R:3 pbc="T T T"
Th 0.000 0.000 0.000
Re 0.000 0.000 6.996
Re 0.000 0.000 22.358
Tc 0.000 0.000 14.677
```

---

DFT (PBE-GGA) results for NaRe after structural relaxation.

mass density	3.34	g/cm³
ΔE to the lowest computed polymorph	108.2	kJ/mol of atoms

```
8
Lattice="-4.704 4.704 4.704 4.704 -4.704 4.704 4.704 4.704 -4.704" Properties=species:S:1:pos:R:3 pbc="T T T"
Na 2.740 2.740 -2.740
Na 2.740 -2.740 2.740
Na 1.964 1.964 1.964
Na -2.740 2.740 2.740
Re 0.861 0.861 -0.861
Re 0.861 -0.861 0.861
Re -0.861 0.861 0.861
Re 3.844 3.844 3.844
```

---

DFT (PBE-GGA) results for B2TePbSe after structural relaxation.

mass density	5.48	g/cm³
ΔE to the lowest computed polymorph	0.0	kJ/mol of atoms

```
5
Lattice="4.467 0.000 0.000 0.000 4.467 0.000 0.000 0.000 6.616" Properties=species:S:1:pos:R:3 pbc="T T T"
B 0.000 2.234 0.000
B 2.234 0.000 0.000
Te 0.000 0.000 0.000
Pb 0.000 0.000 3.308
Se 2.234 2.234 3.308
```